# YHo2ErO6 (PBE-GGA, optimized geometry)
# - E_tot (eV per formula unit) = -85.5
# - E_form (uncorrected) (meV per atom) = -3555
data_YHo2ErO6
_cell_length_a 5.7819
_cell_length_b 5.7819
_cell_length_c 15.1289
_cell_angle_alpha 90.00
_cell_angle_beta 90.00
_cell_angle_gamma 120.00
_space_group_name_H-M_alt 'R 3'
_space_group_IT_number 146
_space_group_name_Hall 'R 3'
loop_
_atom_site_label
_atom_site_type_symbol
_atom_site_fract_x
_atom_site_fract_y
_atom_site_fract_z
Y1 Y 0.0000 0.0000 0.0000
Ho1 Ho 0.0000 0.0000 0.2827
Ho2 Ho 0.0000 0.0000 0.7835
Er1 Er 0.0000 0.0000 0.4985
O1 O 0.0026 0.7102 0.3914
O2 O 0.0393 0.3714 0.5573